# Sr4Ti3MnO12, relaxed, DFT PBE+U
data_Sr4Ti3MnO12
_cell_length_a 7.8411
_cell_length_b 7.8411
_cell_length_c 7.8411
_cell_angle_alpha 90.00
_cell_angle_beta 90.00
_cell_angle_gamma 90.00
_space_group_name_H-M_alt 'I m -3 m'
_space_group_IT_number 229
_space_group_name_Hall '-I 4 2 3'
loop_
_atom_site_label
_atom_site_type_symbol
_atom_site_fract_x
_atom_site_fract_y
_atom_site_fract_z
_atom_site_occupancy
Sr1 Sr 0.2500 0.2500 0.2500 1
Ti1 Ti 0.0000 0.0000 0.5000 1
Mn1 Mn 0.0000 0.0000 0.0000 1
O1 O 0.0000 0.0000 0.2473 1
O2 O 0.0000 0.2500 0.5000 1
# E = -7.7383 eV per atom
# ρ = 5.1 g/cm³
# spin magnetization = 6.03 μB per cell
# V = 241 Å³/f.u.